Crystalline PrDyZrN3 at its relaxed geometry, computed with PBE.

a = 6.5155 Å, b = 3.3370 Å, c = 9.6925 Å
α = 90.00°, β = 93.70°, γ = 90.00°
Space group P2_1/m (No. 11)
Asymmetric unit:
Pr  0.1612  0.2500  0.2157 (multiplicity 2)
Dy  0.2029  0.2500  0.5744 (multiplicity 2)
Zr  0.3487  0.7500  0.8936 (multiplicity 2)
N  0.1447  0.2500  0.8310 (multiplicity 2)
N  0.1537  0.7500  0.4216 (multiplicity 2)
N  0.3968  0.7500  0.1083 (multiplicity 2)

Values from the calculation:
energy relative to the elements, uncorrected	-7.802	eV per formula unit
E_tot	-8.451	eV per atom
V	210	Å³ per cell
DOS at the Fermi energy	1.6	states/eV/f.u.